1.
Entry from the Alexandria database: a relaxed structure of TbPm2Pr2Ho (PBE).

a b c (Å): 5.7394 7.1035 9.9512
angles (deg): 90.00 90.00 90.00
Last column: nearest neighbours and their distance in Å.
Fractional positions:
1 Ho 0.5000 0.2575 0.6604  5 Pm 3.27-3.55
2 Ho 0.5000 0.7575 0.3396  5 Pm 3.27-3.55
3 Pm 0.5000 0.2575 0.3323  2 Pr 3.26, 3 Ho 3.27-3.55
4 Pm 0.5000 0.7575 0.6677  2 Pr 3.26, 3 Ho 3.27-3.55
5 Pm 0.0000 0.2577 0.8363  2 Ho 3.36, 7 Pr 3.38-3.75
6 Pm 0.0000 0.7577 0.1637  2 Ho 3.36, 7 Pr 3.38-3.75
7 Pr 0.5000 0.0077 0.0001  6 Pr 3.55-3.80, 6 Pm 3.75, 2 Ho 3.82
8 Pr 0.0000 0.7577 0.8241  5 Pm 3.26-3.55
9 Pr 0.0000 0.2577 0.1759  5 Pm 3.26-3.55
10 Pr 0.5000 0.5077 0.9999  6 Pr 3.55-3.80, 6 Pm 3.75, 2 Ho 3.82
11 Tb 0.0000 0.5075 0.5001  2 Tb 3.55, 2 Pr 3.68, 4 Ho 3.73, 6 Pm 3.76-3.79
12 Tb 0.0000 0.0075 0.4999  2 Tb 3.55, 2 Pr 3.68, 4 Ho 3.73, 6 Pm 3.76-3.79

## Properties
formation energy from the elements	58.2	meV/atom
SG	No. 51

2.
Entry from the Alexandria database: a relaxed structure of TbPm6Pr3Ho2 (PBE).

a b c (Å): 6.3092 6.3092 12.0490
angles (deg): 95.02 95.02 120.01
Last column: nearest neighbours and their distance in Å.
Fractional positions:
1 Ho 0.3333 0.6667 0.0000  6 Pm 3.59, 3 Ho 3.64, 3 Tb 3.64
2 Ho 0.6667 0.3333 0.0000  6 Pm 3.59, 3 Ho 3.64, 3 Tb 3.64
3 Pr 0.5000 0.5000 0.5000  6 Pr 3.64, 6 Pm 3.68-3.69
4 Pr 0.8333 0.1667 0.5000  6 Pr 3.64, 6 Pm 3.68-3.69
5 Pr 0.1667 0.8333 0.5000  6 Pr 3.64, 6 Pm 3.68-3.69
6 Pm 0.2515 0.2515 0.7550  1 Tb 3.59, 2 Ho 3.59, 6 Pm 3.64, 3 Pr 3.68-3.69
7 Pm 0.9179 0.5843 0.7550  2 Ho 3.59, 1 Tb 3.59, 6 Pm 3.64-3.65, 3 Pr 3.68-3.69
8 Pm 0.7485 0.7485 0.2450  1 Tb 3.59, 2 Ho 3.59, 6 Pm 3.64, 3 Pr 3.68-3.69
9 Pm 0.4157 0.0821 0.2450  2 Ho 3.59, 1 Tb 3.59, 6 Pm 3.64-3.65, 3 Pr 3.68-3.69
10 Pm 0.5843 0.9179 0.7550  2 Ho 3.59, 1 Tb 3.59, 6 Pm 3.64-3.65, 3 Pr 3.68-3.69
11 Pm 0.0821 0.4157 0.2450  2 Ho 3.59, 1 Tb 3.59, 6 Pm 3.64-3.65, 3 Pr 3.68-3.69
12 Tb 0.0000 0.0000 0.0000  6 Pm 3.59, 6 Ho 3.64

## Properties
formation energy from the elements	16.9	meV/atom
SG	No. 12

3.
Entry from the Alexandria database: a relaxed structure of Tb6PmPr2Ho3 (PBE).

a b c (Å): 6.2112 6.2112 11.8725
angles (deg): 94.98 94.98 119.97
Last column: nearest neighbours and their distance in Å.
Fractional positions:
1 Ho 0.5000 0.5000 0.5000  6 Tb 3.54, 6 Ho 3.59
2 Ho 0.8333 0.1667 0.5000  6 Tb 3.54, 6 Ho 3.59
3 Ho 0.1667 0.8333 0.5000  6 Tb 3.54, 6 Ho 3.59
4 Tb 0.2476 0.2476 0.7453  3 Ho 3.54, 6 Tb 3.58-3.59, 1 Pm 3.62, 2 Pr 3.63
5 Tb 0.7524 0.7524 0.2547  3 Ho 3.54, 6 Tb 3.58-3.59, 1 Pm 3.62, 2 Pr 3.63
6 Tb 0.5817 0.9147 0.7455  3 Ho 3.54, 6 Tb 3.58-3.59, 2 Pr 3.62-3.63, 1 Pm 3.63
7 Tb 0.0853 0.4183 0.2545  3 Ho 3.54, 6 Tb 3.58-3.59, 2 Pr 3.62-3.63, 1 Pm 3.63
8 Tb 0.9147 0.5817 0.7455  3 Ho 3.54, 6 Tb 3.58-3.59, 2 Pr 3.62-3.63, 1 Pm 3.63
9 Tb 0.4183 0.0853 0.2545  3 Ho 3.54, 6 Tb 3.58-3.59, 2 Pr 3.62-3.63, 1 Pm 3.63
10 Pm 0.0000 0.0000 0.0000  6 Pr 3.59, 6 Tb 3.62-3.63
11 Pr 0.6666 0.3334 0.0000  3 Pr 3.58-3.59, 3 Pm 3.59, 6 Tb 3.62-3.63
12 Pr 0.3334 0.6666 0.0000  3 Pr 3.58-3.59, 3 Pm 3.59, 6 Tb 3.62-3.63

## Properties
formation energy from the elements	17.8	meV/atom
SG	No. 12

4.
Entry from the Alexandria database: a relaxed structure of TbPm2Pr4Ho2 (PBE).

a b c (Å): 5.1612 8.1612 8.1160
angles (deg): 107.59 90.00 108.43
Last column: nearest neighbours and their distance in Å.
Fractional positions:
1 Ho 0.6672 0.3344 0.9997  5 Pr 3.61-3.64, 3 Pm 3.61-3.62, 2 Ho 3.64, 2 Tb 3.66
2 Ho 0.3328 0.6656 0.0003  5 Pr 3.61-3.64, 3 Pm 3.61-3.62, 2 Ho 3.64, 2 Tb 3.66
3 Pr 0.5544 0.1088 0.3300  2 Ho 3.62-3.64, 2 Tb 3.62, 4 Pm 3.64-3.68, 4 Pr 3.66-3.67
4 Pr 0.2222 0.4443 0.3299  3 Ho 3.61-3.62, 1 Tb 3.62, 3 Pm 3.64-3.68, 5 Pr 3.66-3.68
5 Pr 0.4456 0.8912 0.6700  2 Ho 3.62-3.64, 2 Tb 3.62, 4 Pm 3.64-3.68, 4 Pr 3.66-3.67
6 Pr 0.7778 0.5557 0.6701  3 Ho 3.61-3.62, 1 Tb 3.62, 3 Pm 3.64-3.68, 5 Pr 3.66-3.68
7 Tb 0.0000 0.0000 0.0000  2 Pm 3.62, 6 Pr 3.62, 4 Ho 3.66
8 Pm 0.8884 0.7768 0.3299  3 Ho 3.61-3.62, 1 Tb 3.62, 7 Pr 3.64-3.68, 1 Pm 3.67
9 Pm 0.1116 0.2232 0.6701  3 Ho 3.61-3.62, 1 Tb 3.62, 7 Pr 3.64-3.68, 1 Pm 3.67

## Properties
formation energy from the elements	20.7	meV/atom
SG	No. 12

5.
Entry from the Alexandria database: a relaxed structure of Tb2Pm2PrHo2 (PBE).

a b c (Å): 5.0858 6.2206 8.0611
angles (deg): 97.45 90.00 114.13
Last column: nearest neighbours and their distance in Å.
Fractional positions:
1 Pm 0.1426 0.2851 0.4293  3 Pm 3.58-3.60, 5 Ho 3.59-3.60, 3 Tb 3.60-3.61, 1 Pr 3.61
2 Pm 0.8574 0.7149 0.5707  3 Pm 3.58-3.60, 5 Ho 3.59-3.60, 3 Tb 3.60-3.61, 1 Pr 3.61
3 Tb 0.7148 0.4296 0.1423  3 Pr 3.59-3.60, 4 Ho 3.59-3.61, 2 Tb 3.59, 3 Pm 3.60-3.61
4 Tb 0.2852 0.5704 0.8577  3 Pr 3.59-3.60, 4 Ho 3.59-3.61, 2 Tb 3.59, 3 Pm 3.60-3.61
5 Pr 0.0000 0.0000 0.0000  6 Tb 3.59-3.60, 4 Ho 3.60, 2 Pm 3.61
6 Ho 0.4280 0.8561 0.2859  4 Tb 3.59-3.61, 5 Pm 3.59-3.60, 1 Ho 3.60, 2 Pr 3.60
7 Ho 0.5720 0.1439 0.7141  4 Tb 3.59-3.61, 5 Pm 3.59-3.60, 1 Ho 3.60, 2 Pr 3.60

## Properties
formation energy from the elements	16.5	meV/atom
SG	No. 12

6.
Entry from the Alexandria database: a relaxed structure of TbPm4Pr2Ho2 (PBE).

a b c (Å): 5.1377 8.1242 8.0862
angles (deg): 107.60 90.00 108.43
Last column: nearest neighbours and their distance in Å.
Fractional positions:
1 Pr 0.8883 0.7766 0.3310  3 Ho 3.61, 1 Tb 3.62, 7 Pm 3.63-3.65, 1 Pr 3.65
2 Pr 0.1117 0.2234 0.6690  3 Ho 3.61, 1 Tb 3.62, 7 Pm 3.63-3.65, 1 Pr 3.65
3 Pm 0.5556 0.1111 0.3302  2 Ho 3.60-3.61, 2 Tb 3.61, 4 Pm 3.62-3.67, 4 Pr 3.64-3.65
4 Pm 0.2213 0.4426 0.3302  1 Tb 3.60, 3 Ho 3.60-3.61, 5 Pm 3.62-3.66, 3 Pr 3.63-3.65
5 Pm 0.4444 0.8889 0.6698  2 Ho 3.60-3.61, 2 Tb 3.61, 4 Pm 3.62-3.67, 4 Pr 3.64-3.65
6 Pm 0.7787 0.5574 0.6698  1 Tb 3.60, 3 Ho 3.60-3.61, 5 Pm 3.62-3.66, 3 Pr 3.63-3.65
7 Ho 0.6667 0.3334 0.0002  5 Pm 3.60-3.61, 3 Pr 3.61, 2 Tb 3.63, 2 Ho 3.63
8 Ho 0.3333 0.6666 0.9998  5 Pm 3.60-3.61, 3 Pr 3.61, 2 Tb 3.63, 2 Ho 3.63
9 Tb 0.0000 0.0000 0.0000  6 Pm 3.60-3.61, 2 Pr 3.62, 4 Ho 3.63

## Properties
formation energy from the elements	19.6	meV/atom
SG	No. 12

7.
Entry from the Alexandria database: a relaxed structure of TbPmPr2Ho (PBE).

a b c (Å): 6.7015 8.1385 6.3692
angles (deg): 90.00 90.00 90.00
Last column: nearest neighbours and their distance in Å.
Fractional positions:
1 Pr 0.7032 0.3019 0.7500  1 Pm 3.11, 1 Pr 3.22
2 Pr 0.2968 0.3019 0.2500  1 Pm 3.11, 1 Pr 3.22
3 Pr 0.7032 0.6981 0.7500  1 Pm 3.11, 1 Pr 3.22
4 Pr 0.2968 0.6981 0.2500  1 Pm 3.11, 1 Pr 3.22
5 Tb 0.0000 0.0000 0.5000  2 Tb 3.18, 2 Pm 3.22, 4 Pr 3.54
6 Tb 0.0000 0.0000 0.0000  2 Tb 3.18, 2 Pm 3.22, 4 Pr 3.54
7 Ho 0.8286 0.5000 0.2500  8 Pr 3.53-3.91, 2 Ho 3.93
8 Ho 0.1714 0.5000 0.7500  8 Pr 3.53-3.91, 2 Ho 3.93
9 Pm 0.5818 0.0000 0.2500  2 Pr 3.11, 2 Tb 3.22, 2 Pm 3.37
10 Pm 0.4182 0.0000 0.7500  2 Pr 3.11, 2 Tb 3.22, 2 Pm 3.37

## Properties
formation energy from the elements	250.2	meV/atom
SG	No. 51

8.
Entry from the Alexandria database: a relaxed structure of TbPm6Pr2Ho3 (PBE).

a b c (Å): 6.2805 6.2805 11.9813
angles (deg): 95.01 95.01 120.00
Last column: nearest neighbours and their distance in Å.
Fractional positions:
1 Ho 0.1664 0.8336 0.5000  6 Pm 3.57-3.58, 6 Ho 3.62-3.63
2 Ho 0.5000 0.5000 0.5000  6 Pm 3.58, 6 Ho 3.62-3.63
3 Ho 0.8336 0.1664 0.5000  6 Pm 3.57-3.58, 6 Ho 3.62-3.63
4 Pm 0.2477 0.2477 0.7457  3 Ho 3.57-3.58, 6 Pm 3.62-3.63, 1 Tb 3.65, 2 Pr 3.66
5 Pm 0.7523 0.7523 0.2543  3 Ho 3.57-3.58, 6 Pm 3.62-3.63, 1 Tb 3.65, 2 Pr 3.66
6 Pm 0.9154 0.5831 0.7461  3 Ho 3.58, 6 Pm 3.61-3.63, 1 Tb 3.65, 2 Pr 3.66
7 Pm 0.5831 0.9154 0.7461  3 Ho 3.58, 6 Pm 3.61-3.63, 1 Tb 3.65, 2 Pr 3.66
8 Pm 0.4169 0.0846 0.2539  3 Ho 3.58, 6 Pm 3.61-3.63, 1 Tb 3.65, 2 Pr 3.66
9 Pm 0.0846 0.4169 0.2539  3 Ho 3.58, 6 Pm 3.61-3.63, 1 Tb 3.65, 2 Pr 3.66
10 Tb 0.0000 0.0000 0.0000  6 Pr 3.63, 6 Pm 3.65
11 Pr 0.3333 0.6667 0.0000  3 Pr 3.63, 3 Tb 3.63, 6 Pm 3.66
12 Pr 0.6667 0.3333 0.0000  3 Pr 3.63, 3 Tb 3.63, 6 Pm 3.66

## Properties
formation energy from the elements	15.8	meV/atom
SG	No. 12

9.
Entry from the Alexandria database: a relaxed structure of TbPmPr2Ho6 (PBE).

a b c (Å): 9.8070 8.7703 8.7703
angles (deg): 118.03 94.97 94.97
Last column: nearest neighbours and their distance in Å.
Fractional positions:
1 Ho 0.9431 0.8775 0.2590  8 Ho 3.41-3.78, 1 Pr 3.51, 1 Tb 3.64, 1 Pm 3.73
2 Ho 0.0569 0.1225 0.7410  8 Ho 3.41-3.78, 1 Pr 3.51, 1 Tb 3.64, 1 Pm 3.73
3 Ho 0.6859 0.0272 0.5790  3 Ho 3.23-3.61, 1 Pr 3.41, 1 Pm 3.50, 1 Tb 3.60
4 Ho 0.8800 0.2944 0.5039  4 Ho 3.23-3.52, 3 Pr 3.29-3.48, 2 Pm 3.45-3.59
5 Ho 0.3141 0.9728 0.4210  3 Ho 3.23-3.61, 1 Pr 3.41, 1 Pm 3.50, 1 Tb 3.60
6 Ho 0.6200 0.4961 0.7056  4 Ho 3.23-3.52, 3 Pr 3.29-3.48, 2 Pm 3.45-3.59
7 Ho 0.4431 0.2590 0.8775  8 Ho 3.41-3.78, 1 Pr 3.51, 1 Tb 3.64, 1 Pm 3.73
8 Ho 0.8141 0.4210 0.9728  3 Ho 3.23-3.61, 1 Pr 3.41, 1 Pm 3.50, 1 Tb 3.60
9 Ho 0.1859 0.5790 0.0272  3 Ho 3.23-3.61, 1 Pr 3.41, 1 Pm 3.50, 1 Tb 3.60
10 Ho 0.3800 0.5039 0.2944  4 Ho 3.23-3.52, 3 Pr 3.29-3.48, 2 Pm 3.45-3.59
11 Ho 0.1200 0.7056 0.4961  4 Ho 3.23-3.52, 3 Pr 3.29-3.48, 2 Pm 3.45-3.59
12 Ho 0.5569 0.7410 0.1225  8 Ho 3.41-3.78, 1 Pr 3.51, 1 Tb 3.64, 1 Pm 3.73
13 Pr 0.5415 0.1890 0.2908  6 Ho 3.29-3.68, 2 Tb 3.32-3.38, 1 Pm 3.59
14 Pr 0.9585 0.7092 0.8110  6 Ho 3.29-3.68, 2 Tb 3.32-3.38, 1 Pm 3.59
15 Pr 0.4585 0.8110 0.7092  6 Ho 3.29-3.68, 2 Tb 3.32-3.38, 1 Pm 3.59
16 Pr 0.0415 0.2908 0.1890  6 Ho 3.29-3.68, 2 Tb 3.32-3.38, 1 Pm 3.59
17 Pm 0.2500 0.4047 0.5953  8 Ho 3.45-3.73, 2 Pr 3.59
18 Pm 0.7500 0.5953 0.4047  8 Ho 3.45-3.73, 2 Pr 3.59
19 Tb 0.2500 0.9836 0.0164  4 Pr 3.32-3.38, 4 Ho 3.60-3.64
20 Tb 0.7500 0.0164 0.9836  4 Pr 3.32-3.38, 4 Ho 3.60-3.64

## Properties
formation energy from the elements	121.9	meV/atom
SG	No. 15

10.
Entry from the Alexandria database: a relaxed structure of TbPm5PrHo2 (PBE).

a b c (Å): 5.7010 10.5546 10.6375
angles (deg): 90.00 90.00 105.67
Last column: nearest neighbours and their distance in Å.
Fractional positions:
1 Pm 0.2802 0.5604 0.3129  1 Pr 3.09, 1 Ho 3.34, 2 Pm 3.44
2 Pm 0.4787 0.9573 0.7403  2 Pr 3.14-3.34
3 Pm 0.6124 0.2247 0.5241  6 Pm 3.54-3.88, 4 Ho 3.58-3.62, 1 Tb 3.83
4 Pm 0.0168 0.0337 0.0224  2 Pr 3.27, 3 Ho 3.45-3.64
5 Pm 0.2971 0.5943 0.7073  4 Pm 3.44-3.84, 3 Tb 3.53-3.80, 3 Ho 3.56-3.75, 1 Pr 3.61
6 Pm 0.3876 0.7753 0.0241  6 Pm 3.54-3.88, 4 Ho 3.58-3.62, 1 Tb 3.83
7 Pm 0.7029 0.4057 0.2073  4 Pm 3.44-3.84, 3 Tb 3.53-3.80, 3 Ho 3.56-3.75, 1 Pr 3.61
8 Pm 0.5213 0.0427 0.2403  2 Pr 3.14-3.34
9 Pm 0.7198 0.4396 0.8129  1 Pr 3.09, 1 Ho 3.34, 2 Pm 3.44
10 Pm 0.9832 0.9663 0.5224  2 Pr 3.27, 3 Ho 3.45-3.64
11 Ho 0.8839 0.7678 0.8200  8 Pm 3.34-3.58, 1 Tb 3.69
12 Ho 0.1161 0.2322 0.3200  8 Pm 3.34-3.58, 1 Tb 3.69
13 Ho 0.1131 0.2262 0.7339  1 Tb 3.43, 7 Pm 3.47-3.75, 2 Pr 3.71
14 Ho 0.8869 0.7738 0.2339  1 Tb 3.43, 7 Pm 3.47-3.75, 2 Pr 3.71
15 Pr 0.4136 0.8272 0.4516  5 Pm 3.09-3.34
16 Pr 0.5864 0.1728 0.9516  5 Pm 3.09-3.34
17 Tb 0.8006 0.6012 0.5114  2 Ho 3.43-3.69, 8 Pm 3.53-3.83, 2 Pr 3.72
18 Tb 0.1994 0.3988 0.0114  2 Ho 3.43-3.69, 8 Pm 3.53-3.83, 2 Pr 3.72

## Properties
formation energy from the elements	150.3	meV/atom
SG	No. 36

11.
Entry from the Alexandria database: a relaxed structure of Tb3Pm2Pr6Ho (PBE).

a b c (Å): 6.3404 6.3404 12.0092
angles (deg): 95.04 95.04 120.01
Last column: nearest neighbours and their distance in Å.
Fractional positions:
1 Tb 0.8335 0.1665 0.5000  6 Pr 3.62, 6 Tb 3.66
2 Tb 0.1665 0.8335 0.5000  6 Pr 3.62, 6 Tb 3.66
3 Tb 0.5000 0.5000 0.5000  6 Pr 3.62, 6 Tb 3.66
4 Pr 0.9160 0.5836 0.7486  3 Tb 3.62, 1 Ho 3.64, 2 Pm 3.65, 6 Pr 3.65-3.67
5 Pr 0.5836 0.9160 0.7486  3 Tb 3.62, 1 Ho 3.64, 2 Pm 3.65, 6 Pr 3.65-3.67
6 Pr 0.7514 0.7514 0.2517  3 Tb 3.62, 1 Ho 3.65, 6 Pr 3.65-3.67, 2 Pm 3.65
7 Pr 0.4164 0.0840 0.2514  3 Tb 3.62, 1 Ho 3.64, 2 Pm 3.65, 6 Pr 3.65-3.67
8 Pr 0.2486 0.2486 0.7483  3 Tb 3.62, 1 Ho 3.65, 6 Pr 3.65-3.67, 2 Pm 3.65
9 Pr 0.0840 0.4164 0.2514  3 Tb 3.62, 1 Ho 3.64, 2 Pm 3.65, 6 Pr 3.65-3.67
10 Pm 0.3332 0.6668 0.0000  6 Pr 3.65, 3 Pm 3.66, 3 Ho 3.66
11 Pm 0.6668 0.3332 0.0000  6 Pr 3.65, 3 Pm 3.66, 3 Ho 3.66
12 Ho 0.0000 0.0000 0.0000  6 Pr 3.64-3.65, 6 Pm 3.66

## Properties
formation energy from the elements	11.5	meV/atom
SG	No. 12

12.
Entry from the Alexandria database: a relaxed structure of TbPm2PrHo5 (PBE).

a b c (Å): 8.7493 8.7493 9.8737
angles (deg): 116.30 116.30 90.00
Last column: nearest neighbours and their distance in Å.
Fractional positions:
1 Pr 0.2500 0.2500 0.5000  10 Ho 3.59-3.85
2 Pr 0.7500 0.7500 0.5000  10 Ho 3.59-3.85
3 Tb 0.7500 0.2500 0.5000  4 Ho 3.12
4 Tb 0.2500 0.7500 0.5000  4 Ho 3.12
5 Ho 0.4273 0.3458 0.2731  1 Pm 3.01, 1 Tb 3.12
6 Ho 0.3458 0.8458 0.2731  1 Pm 3.01, 1 Tb 3.12
7 Ho 0.8458 0.9273 0.2731  1 Pm 3.01, 1 Tb 3.12
8 Ho 0.5000 0.5000 0.0000  4 Pm 3.51, 8 Ho 3.77, 2 Pr 3.85
9 Ho 0.0727 0.5727 0.7269  1 Pm 3.01, 1 Tb 3.12
10 Ho 0.5727 0.6542 0.7269  1 Pm 3.01, 1 Tb 3.12
11 Ho 0.6542 0.1542 0.7269  1 Pm 3.01, 1 Tb 3.12
12 Ho 0.0000 0.0000 0.0000  4 Pm 3.51, 8 Ho 3.77, 2 Pr 3.85
13 Ho 0.9273 0.4273 0.2731  1 Pm 3.01, 1 Tb 3.12
14 Ho 0.1542 0.0727 0.7269  1 Pm 3.01, 1 Tb 3.12
15 Pm 0.8838 0.6162 0.0000  1 Pm 2.87, 2 Ho 3.01
16 Pm 0.3838 0.8838 0.0000  1 Pm 2.87, 2 Ho 3.01
17 Pm 0.1162 0.3838 0.0000  1 Pm 2.87, 2 Ho 3.01
18 Pm 0.6162 0.1162 0.0000  1 Pm 2.87, 2 Ho 3.01

## Properties
formation energy from the elements	262.0	meV/atom
SG	No. 140

no.,D(E_F) (states/eV/cell)
1,17.4
2,17.2
3,15.7
4,14.5
5,9.5
6,14.4
7,13.2
8,15.8
9,29.1
10,28.6
11,15.1
12,19.9